Run w
Here is an optimized crystal structure of ErB4Au from OQMD. Energies are from PBE.

Output
Crystal system = hexagonal
Spin magnetization = 0.00 μB/cell

The structure in CIF format:
```
data_ErB4Au
_chemical_formula_sum 'Er1 B4 Au1'
_cell_length_a 3.2285
_cell_length_b 3.2285
_cell_length_c 7.1991
_cell_angle_alpha 90.00
_cell_angle_beta 90.00
_cell_angle_gamma 120.00
_space_group_name_H-M_alt 'P 6/m m m'
_space_group_IT_number 191
_space_group_name_Hall '-P 6 2'
loop_
_atom_site_label
_atom_site_type_symbol
_atom_site_fract_x
_atom_site_fract_y
_atom_site_fract_z
Er1 Er 0.0000 0.0000 0.0000
B1 B 0.3333 0.6667 0.2509
Au1 Au 0.0000 0.0000 0.5000
```

***

Run x
Here is an optimized crystal structure of ErB4Au from OQMD. Energies are from PBE.

Output
Crystal system = orthorhombic
Spin magnetization = 0.00 μB/cell

The structure in CIF format:
```
data_ErB4Au
_chemical_formula_sum 'Er2 B8 Au2'
_cell_length_a 3.199
_cell_length_b 5.218
_cell_length_c 8.052
_cell_angle_alpha 90.00
_cell_angle_beta 90.00
_cell_angle_gamma 90.00
_space_group_name_H-M_alt 'I m m m'
_space_group_IT_number 71
_space_group_name_Hall '-I 2 2'
loop_
_atom_site_label
_atom_site_type_symbol
_atom_site_fract_x
_atom_site_fract_y
_atom_site_fract_z
Er1 Er 0.000 0.000 0.000
B1 B 0.000 0.314 0.271
Au1 Au 0.000 0.000 0.500
```

***

Stability, lowest: run w

***

Run w
Here is an optimized crystal structure of FeB4Au from OQMD. Energies are from PBE.

Output
Crystal system = hexagonal
Spin magnetization = 2.39 μB/cell

The structure in CIF format:
```
data_FeB4Au
_chemical_formula_sum 'Fe1 B4 Au1'
_cell_length_a 2.9584
_cell_length_b 2.9584
_cell_length_c 7.6827
_cell_angle_alpha 90.00
_cell_angle_beta 90.00
_cell_angle_gamma 120.00
_space_group_name_H-M_alt 'P 6/m m m'
_space_group_IT_number 191
_space_group_name_Hall '-P 6 2'
loop_
_atom_site_label
_atom_site_type_symbol
_atom_site_fract_x
_atom_site_fract_y
_atom_site_fract_z
Fe1 Fe 0.0000 0.0000 0.0000
B1 B 0.3333 0.6667 0.1939
Au1 Au 0.0000 0.0000 0.5000
```

***

Run x
Here is an optimized crystal structure of FeB4Au from OQMD. Energies are from PBE.

Output
Crystal system = orthorhombic
Spin magnetization = 6.84 μB/cell

The structure in CIF format:
```
data_FeB4Au
_chemical_formula_sum 'Fe2 B8 Au2'
_cell_length_a 3.045
_cell_length_b 5.107
_cell_length_c 7.418
_cell_angle_alpha 90.00
_cell_angle_beta 90.00
_cell_angle_gamma 90.00
_space_group_name_H-M_alt 'I m m m'
_space_group_IT_number 71
_space_group_name_Hall '-I 2 2'
loop_
_atom_site_label
_atom_site_type_symbol
_atom_site_fract_x
_atom_site_fract_y
_atom_site_fract_z
Fe1 Fe 0.000 0.000 0.000
B1 B 0.000 0.325 0.267
Au1 Au 0.000 0.000 0.500
```

***

Stability, lowest: run x

***

Run w
Here is an optimized crystal structure of HfFeBAu from OQMD. Energies are from PBE.

Output
Crystal system = cubic
Spin magnetization = 9.79 μB/cell

The structure in CIF format:
```
data_HfFeBAu
_chemical_formula_sum 'Hf4 Fe4 B4 Au4'
_cell_length_a 6.180
_cell_length_b 6.180
_cell_length_c 6.180
_cell_angle_alpha 90.00
_cell_angle_beta 90.00
_cell_angle_gamma 90.00
_space_group_name_H-M_alt 'F -4 3 m'
_space_group_IT_number 216
_space_group_name_Hall 'F -4 2 3'
loop_
_atom_site_label
_atom_site_type_symbol
_atom_site_fract_x
_atom_site_fract_y
_atom_site_fract_z
Hf1 Hf 0.000 0.000 0.000
Fe1 Fe 0.000 0.000 0.500
B1 B 0.250 0.250 0.250
Au1 Au 0.250 0.250 0.750
```

***

Run x
Here is an optimized crystal structure of HfFeBAu from OQMD. Energies are from PBE.

Output
Crystal system = cubic
Spin magnetization = 6.88 μB/cell

The structure in CIF format:
```
data_HfFeBAu
_chemical_formula_sum 'Hf4 Fe4 B4 Au4'
_cell_length_a 6.131
_cell_length_b 6.131
_cell_length_c 6.131
_cell_angle_alpha 90.00
_cell_angle_beta 90.00
_cell_angle_gamma 90.00
_space_group_name_H-M_alt 'F -4 3 m'
_space_group_IT_number 216
_space_group_name_Hall 'F -4 2 3'
loop_
_atom_site_label
_atom_site_type_symbol
_atom_site_fract_x
_atom_site_fract_y
_atom_site_fract_z
Hf1 Hf 0.000 0.000 0.000
Fe1 Fe 0.250 0.250 0.750
B1 B 0.000 0.000 0.500
Au1 Au 0.250 0.250 0.250
```

***

Stability, lowest: run x